(i)
Entry from Alexandria via LeMat-Bulk: crystalline Hf2HN at its relaxed geometry (PBE-GGA).

Calculated values
Its space-group type is No. 160. As for the total magnetization: 0.00 Bohr magnetons per cell. Its crystal system is trigonal.

abc: 6.0807 6.0807 6.0807
angles: 31.86 31.86 31.86
With the nearest neighbours (Å) after each atom.
Element x y z (fractional)
Hf: 0.0000 0.0000 0.0000  1 N 2.04, 3 H 2.07
Hf: 0.4979 0.4979 0.4979  1 H 2.09, 3 N 2.12
H: 0.3772 0.3772 0.3772  4 Hf 2.07-2.09
N: 0.8820 0.8820 0.8820  4 Hf 2.04-2.12

(ii)
Entry from Alexandria via LeMat-Bulk: crystalline Hf2HN at its relaxed geometry (PBE-GGA).

Calculated values
Its space-group type is No. 122. As for the total magnetization: 0.00 Bohr magnetons per cell. Its crystal system is tetragonal.

abc: 5.7099 5.7099 5.7099
angles: 127.88 127.88 76.82
With the nearest neighbours (Å) after each atom.
Element x y z (fractional)
Hf: 0.1204 0.6250 0.9954  2 N 2.08, 2 H 2.11
Hf: 0.3750 0.3704 0.4954  2 N 2.08, 2 H 2.11
Hf: 0.6296 0.1250 0.0046  2 N 2.08, 2 H 2.11
Hf: 0.8750 0.8796 0.5046  2 N 2.08, 2 H 2.11
H: 0.2500 0.7500 0.5000  4 Hf 2.11
H: 0.5000 0.5000 0.0000  4 Hf 2.11
N: 0.0000 0.0000 0.0000  4 Hf 2.08
N: 0.7500 0.2500 0.5000  4 Hf 2.08

Which one sits at the top of the stability order? (i) does.

(i)
Entry from Alexandria via LeMat-Bulk: crystalline Hf2HN at its relaxed geometry (PBE-GGA).

Calculated values
Its space-group type is No. 166. As for the total magnetization: 0.00 Bohr magnetons per cell. Its crystal system is trigonal.

abc: 6.4048 6.4048 6.4048
angles: 29.11 29.11 29.11
With the nearest neighbours (Å) after each atom.
Element x y z (fractional)
Hf: 0.0969 0.0969 0.0969  1 H 1.78
Hf: 0.9031 0.9031 0.9031  1 H 1.78
H: 0.0000 0.0000 0.0000  2 Hf 1.78
N: 0.5000 0.5000 0.5000  6 Hf 2.26

(ii)
Entry from Alexandria via LeMat-Bulk: crystalline Hf2HN at its relaxed geometry (PBE-GGA).

Calculated values
Its space-group type is No. 225. As for the total magnetization: 0.00 Bohr magnetons per cell. Its crystal system is cubic.

abc: 4.0250 4.0250 4.0250
angles: 60.00 60.00 60.00
With the nearest neighbours (Å) after each atom.
Element x y z (fractional)
Hf: 0.2500 0.2500 0.2500  4 H 2.46, 4 N 2.46
Hf: 0.7500 0.7500 0.7500  4 H 2.46, 4 N 2.46
H: 0.0000 0.0000 0.0000  8 Hf 2.46
N: 0.5000 0.5000 0.5000  8 Hf 2.46

Which one sits at the top of the stability order? (i) does.

(i)
Entry from Alexandria via LeMat-Bulk: crystalline HfHN at its relaxed geometry (PBE-GGA).

Calculated values
Its space-group type is No. 216. As for the total magnetization: 0.00 Bohr magnetons per cell. Its crystal system is cubic.

abc: 3.5138 3.5138 3.5138
angles: 60.00 60.00 60.00
With the nearest neighbours (Å) after each atom.
Element x y z (fractional)
Hf: 0.0000 0.0000 0.0000  4 N 2.15, 4 H 2.15
H: 0.2500 0.2500 0.2500  4 Hf 2.15
N: 0.7500 0.7500 0.7500  4 Hf 2.15

(ii)
Entry from Alexandria via LeMat-Bulk: crystalline HfHN at its relaxed geometry (PBE-GGA).

Calculated values
Its space-group type is No. 107. As for the total magnetization: 0.00 Bohr magnetons per cell. Its crystal system is tetragonal.

abc: 3.7586 3.7586 3.7586
angles: 133.07 133.07 68.55
With the nearest neighbours (Å) after each atom.
Element x y z (fractional)
Hf: 0.0000 0.0000 0.0000  1 H 1.98
H: 0.6809 0.6809 0.0000  1 N 1.97, 1 Hf 1.98
N: 0.3631 0.3631 0.0000  1 H 1.97

Which one sits at the top of the stability order? (i) does.

(i)
Entry from Alexandria via LeMat-Bulk: crystalline HfHN at its relaxed geometry (PBE-GGA).

Calculated values
Its space-group type is No. 63. As for the total magnetization: 0.00 Bohr magnetons per cell. Its crystal system is orthorhombic.

abc: 3.5006 3.5006 5.5808
angles: 90.00 90.00 128.45
With the nearest neighbours (Å) after each atom.
Element x y z (fractional)
Hf: 0.0000 0.0000 0.0000  4 H 2.17, 6 N 2.38-2.40
Hf: 0.0000 0.0000 0.5000  4 H 2.17, 6 N 2.38-2.40
H: 0.3949 0.6051 0.7500  3 N 1.88-1.98
H: 0.6051 0.3949 0.2500  3 N 1.88-1.98
N: 0.3064 0.6936 0.2500  3 H 1.88-1.98
N: 0.6936 0.3064 0.7500  3 H 1.88-1.98

(ii)
Entry from Alexandria via LeMat-Bulk: crystalline HfHN at its relaxed geometry (PBE-GGA).

Calculated values
Its space-group type is No. 166. As for the total magnetization: 0.00 Bohr magnetons per cell. Its crystal system is trigonal.

abc: 6.1395 6.1395 6.1395
angles: 33.87 33.87 33.87
With the nearest neighbours (Å) after each atom.
Element x y z (fractional)
Hf: 0.2425 0.2425 0.2425  4 H 2.10-2.32, 4 N 2.11-2.22
Hf: 0.7575 0.7575 0.7575  4 H 2.10-2.32, 4 N 2.11-2.22
H: 0.3636 0.3636 0.3636  4 Hf 2.10-2.32, 3 H 2.32
H: 0.6364 0.6364 0.6364  4 Hf 2.10-2.32, 3 H 2.32
N: 0.1143 0.1143 0.1143  4 Hf 2.11-2.22
N: 0.8857 0.8857 0.8857  4 Hf 2.11-2.22

Which one sits at the top of the stability order? (ii) does.

(i)
Entry from Alexandria via LeMat-Bulk: crystalline Hf2HN2 at its relaxed geometry (PBE-GGA).

Calculated values
Its space-group type is No. 12. As for the total magnetization: 0.00 Bohr magnetons per cell. Its crystal system is monoclinic.

abc: 5.5822 5.5822 6.6337
angles: 125.74 125.74 47.02
With the nearest neighbours (Å) after each atom.
Element x y z (fractional)
Hf: 0.1090 0.1090 0.3233  1 H 2.01, 3 N 2.21-2.23
Hf: 0.3366 0.3366 0.9684  1 H 1.95, 1 N 2.16
Hf: 0.6634 0.6634 0.0316  1 H 1.95, 1 N 2.16
Hf: 0.8910 0.8910 0.6767  1 H 2.01, 3 N 2.21-2.23
H: 0.1106 0.1106 0.6284  1 H 1.77, 1 Hf 1.95
H: 0.8894 0.8894 0.3716  1 H 1.77, 1 Hf 1.95
N: 0.1630 0.1630 0.0499  5 Hf 2.16-2.26
N: 0.3924 0.3924 0.6914  5 Hf 2.19-2.31
N: 0.6076 0.6076 0.3086  5 Hf 2.19-2.31
N: 0.8370 0.8370 0.9501  5 Hf 2.16-2.26

(ii)
Entry from Alexandria via LeMat-Bulk: crystalline Hf2HN2 at its relaxed geometry (PBE-GGA).

Calculated values
Its space-group type is No. 11. As for the total magnetization: 0.00 Bohr magnetons per cell. Its crystal system is monoclinic.

abc: 4.3773 3.3068 8.3354
angles: 90.00 104.95 90.00
With the nearest neighbours (Å) after each atom.
Element x y z (fractional)
Hf: 0.1003 0.2500 0.1953  3 H 1.98-2.06, 2 N 2.20
Hf: 0.3029 0.2500 0.6079  6 N 2.14-2.37
Hf: 0.6971 0.7500 0.3921  6 N 2.14-2.37
Hf: 0.8997 0.7500 0.8047  3 H 1.98-2.06, 2 N 2.20
H: 0.0428 0.7500 0.0602  2 H 1.92, 3 Hf 1.98-2.06
H: 0.9572 0.2500 0.9398  2 H 1.92, 3 Hf 1.98-2.06
N: 0.1993 0.7500 0.3965  6 Hf 2.19-2.37
N: 0.3861 0.7500 0.7768  4 Hf 2.14-2.20
N: 0.6139 0.2500 0.2232  4 Hf 2.14-2.20
N: 0.8007 0.2500 0.6035  6 Hf 2.19-2.37

Which one sits at the top of the stability order? (i) does.

(i)
Entry from Alexandria via LeMat-Bulk: crystalline HfHN2 at its relaxed geometry (PBE-GGA).

Calculated values
Its space-group type is No. 225. As for the total magnetization: 0.00 Bohr magnetons per cell. Its crystal system is cubic.

abc: 3.6878 3.6878 3.6878
angles: 60.00 60.00 60.00
With the nearest neighbours (Å) after each atom.
Element x y z (fractional)
Hf: 0.0000 0.0000 0.0000  8 N 2.26
H: 0.5000 0.5000 0.5000  8 N 2.26
N: 0.2500 0.2500 0.2500  4 H 2.26, 4 Hf 2.26
N: 0.7500 0.7500 0.7500  4 H 2.26, 4 Hf 2.26

(ii)
Entry from Alexandria via LeMat-Bulk: crystalline HfHN2 at its relaxed geometry (PBE-GGA).

Calculated values
Its space-group type is No. 166. As for the total magnetization: 0.00 Bohr magnetons per cell. Its crystal system is trigonal.

abc: 5.0100 5.0100 5.0100
angles: 38.70 38.70 38.70
With the nearest neighbours (Å) after each atom.
Element x y z (fractional)
Hf: 0.0000 0.0000 0.0000  6 N 2.19
H: 0.5000 0.5000 0.5000  2 N 1.26
N: 0.4091 0.4091 0.4091  1 H 1.26
N: 0.5909 0.5909 0.5909  1 H 1.26

(iii)
Entry from Alexandria via LeMat-Bulk: crystalline HfHN2 at its relaxed geometry (PBE-GGA).

Calculated values
Its space-group type is No. 122. As for the total magnetization: 2.00 Bohr magnetons per cell. Its crystal system is tetragonal.

abc: 5.9827 5.9827 5.9827
angles: 140.34 140.34 57.34
With the nearest neighbours (Å) after each atom.
Element x y z (fractional)
Hf: 0.0000 0.0000 0.0000  4 N 2.05
Hf: 0.7500 0.2500 0.5000  4 N 2.05
H: 0.2500 0.7500 0.5000  4 N 1.85
H: 0.5000 0.5000 0.0000  4 N 1.85
N: 0.1730 0.6250 0.0480  2 H 1.85, 2 Hf 2.05
N: 0.3750 0.4230 0.5480  2 H 1.85, 2 Hf 2.05
N: 0.5770 0.1250 0.9520  2 H 1.85, 2 Hf 2.05
N: 0.8750 0.8270 0.4520  2 H 1.85, 2 Hf 2.05

Which one sits at the top of the stability order? (ii) does.